1.
Entry from the Alexandria database: ZrAgHPd2 after structural relaxation (GGA-PBE).

CIF file:
```
data_ZrAgHPd2
_chemical_formula_sum 'Zr1 Ag1 H1 Pd2'
_space_group_name_H-M_alt 'P 4/m m m'
_space_group_IT_number 123
_space_group_name_Hall '-P 4 2'
_cell_length_a 4.185
_cell_length_b 4.185
_cell_length_c 4.134
_cell_angle_alpha 90.00
_cell_angle_beta 90.00
_cell_angle_gamma 90.00
loop_
_atom_site_label
_atom_site_type_symbol
_atom_site_fract_x
_atom_site_fract_y
_atom_site_fract_z
Zr1 Zr 0.000 0.000 0.000
Ag1 Ag 0.500 0.500 0.000
H1 H 0.000 0.000 0.500
Pd1 Pd 0.000 0.500 0.500
```

---

2.
Entry from the Alexandria database: PmAgH2 after structural relaxation (GGA-PBE).

CIF file:
```
data_PmAgH2
_chemical_formula_sum 'Pm1 Ag1 H2'
_space_group_name_H-M_alt 'P 4/m m m'
_space_group_IT_number 123
_space_group_name_Hall '-P 4 2'
_cell_length_a 3.070
_cell_length_b 3.070
_cell_length_c 6.593
_cell_angle_alpha 90.00
_cell_angle_beta 90.00
_cell_angle_gamma 90.00
loop_
_atom_site_label
_atom_site_type_symbol
_atom_site_fract_x
_atom_site_fract_y
_atom_site_fract_z
Pm1 Pm 0.000 0.000 0.000
Ag1 Ag 0.000 0.000 0.500
H1 H 0.500 0.500 0.155
```

---

Record-wise DFT total energy values, in eV per cell: -26.4; -14.0